Computed, not measured: an optimized crystal structure of ZnFe2O4 at the PBE with a Hubbard U level of DFT.

```
ZnFe2O4
1.0
-4.5097 -0.3877 -3.7912
4.0348 -4.3040 0.2382
-7.8414 -6.7964 10.0222
Zn O Fe
6 24 12
direct
0.0000 0.0000 0.6240 Zn
0.6667 0.3333 0.9518 Zn
0.6667 0.3333 0.7108 Zn
0.0000 0.0000 0.9980 Zn
0.3333 0.6667 0.2912 Zn
0.0000 0.0000 0.3768 Zn
0.6667 0.3333 0.0958 O
0.8464 0.6927 0.9052 O
0.1581 0.3162 0.0928 O
0.3627 0.1813 0.4239 O
0.1814 0.3628 0.5763 O
0.8187 0.6373 0.4239 O
0.8187 0.1813 0.4239 O
0.5153 0.4847 0.2434 O
0.3073 0.1536 0.9052 O
0.3333 0.6667 0.9095 O
0.6667 0.3333 0.5706 O
0.6372 0.8186 0.5763 O
0.8464 0.1536 0.9052 O
0.9693 0.4847 0.2434 O
0.1581 0.8419 0.0928 O
0.1814 0.8186 0.5763 O
0.4846 0.9693 0.7570 O
0.3333 0.6667 0.4300 O
0.6838 0.8419 0.0928 O
0.4846 0.5154 0.7570 O
0.0000 0.0000 0.2362 O
0.0000 0.0000 0.7619 O
0.0307 0.5154 0.7570 O
0.5153 0.0307 0.2434 O
0.8324 0.1676 0.1667 Fe
0.3352 0.1676 0.1667 Fe
0.4997 0.5003 0.5007 Fe
0.3333 0.6667 0.6669 Fe
0.6667 0.3333 0.3350 Fe
0.1660 0.3321 0.8329 Fe
0.4997 0.9994 0.5007 Fe
0.0006 0.5003 0.5007 Fe
0.1660 0.8340 0.8329 Fe
0.3333 0.6667 0.0443 Fe
0.6679 0.8340 0.8329 Fe
0.8324 0.6648 0.1667 Fe
```

Fermi-level density of states   0.6 states/eV/f.u.
Magnetic moment   6.0 μB per cell
Energy above the most stable polymorph in this dataset   205 meV/atom
VASP energy   -242.39 eV for the cell shown